KTc2Ag | GGA-PBEsol | relaxed

Unit cell a=3.0739 b=5.4654 c=5.8159 alpha=118.03 beta=105.32 gamma=90.00
Atoms (fractional coordinates):
K (0.2577, 0.7577, 0.5154)
Tc (0.7214, 0.2214, 0.4429)
Tc (0.0544, 0.0544, 0.1088)
Ag (0.4665, 0.4665, 0.9329)

## Properties
V in Å³/atom: 20.6
Total magnetic moment in μB/f.u.: 0.0
Formation energy from the elements in eV/atom: 1.13